Below is LaAl2Br after structural relaxation, with properties calculated at the GGA-PBE level.

- spin magnetization (μB/f.u.) = 0.00
- polymorph energy (0 for the lowest one) (kcal/mol of atoms) = 12.879
- N(E_F) (states/eV per cell) = 9.09
- space group = R-3m, No. 166
- energy relative to the elements, uncorrected (eV per formula unit) = -0.12

Geometry as POSCAR:
```
LaAl2Br
1.0
3.477 0.000 0.000
-1.739 3.012 0.000
0.000 0.000 28.778
La Al Br
3 6 3
direct
0.000 0.000 0.000
0.333 0.667 0.667
0.667 0.333 0.333
0.000 0.000 0.243
0.000 0.000 0.757
0.333 0.667 0.424
0.333 0.667 0.910
0.667 0.333 0.090
0.667 0.333 0.576
0.000 0.000 0.500
0.333 0.667 0.167
0.667 0.333 0.833
```